BeRh3 | PBE-GGA | relaxed

Properties
Formation energy = -162 meV/atom
Symmetry = No. 62
Spin magnetization = 0.00 μB per atom

Lattice parameters (Å, degrees): 5.7880 7.3059 4.8011 90.00 90.00 90.00
Sites, in units of the cell vectors:
Be 0.1126 0.2500 0.0747
Be 0.3874 0.7500 0.5747
Be 0.6126 0.2500 0.4253
Be 0.8874 0.7500 0.9253
Rh 0.0271 0.7500 0.3769
Rh 0.1915 0.5543 0.8561
Rh 0.1915 0.9457 0.8561
Rh 0.3085 0.0543 0.3561
Rh 0.3085 0.4457 0.3561
Rh 0.4729 0.2500 0.8769
Rh 0.5271 0.7500 0.1231
Rh 0.6915 0.5543 0.6439
Rh 0.6915 0.9457 0.6439
Rh 0.8085 0.0543 0.1439
Rh 0.8085 0.4457 0.1439
Rh 0.9729 0.2500 0.6231

---

HgBiTe2N | PBE-GGA | relaxed

Properties
ΔE_f (raw) = 0.988 eV/atom
Energy above the lowest structure with this stoichiometry = 9.7 meV per atom
Symmetry = No. 123
Spin magnetization = 0.31 μB per atom

Lattice parameters (Å, degrees): 5.7896 5.7896 4.1743 90.00 90.00 90.00
Sites, in units of the cell vectors:
Hg 0.0000 0.0000 0.0000
Bi 0.5000 0.5000 0.5000
Te 0.0000 0.5000 0.0000
Te 0.5000 0.0000 0.0000
N 0.0000 0.0000 0.5000

---

Rb2IrI2Cl4 | PBE-GGA | relaxed

Properties
ΔE_f (raw) = -1.005 eV/atom
Symmetry = No. 139
Spin magnetization = 0.11 μB per atom

Lattice parameters (Å, degrees): 7.4204 7.4204 7.4204 116.81 116.81 95.63
Sites, in units of the cell vectors:
Rb 0.2500 0.7500 0.5000
Rb 0.7500 0.2500 0.5000
Ir 0.0000 0.0000 0.0000
I 0.2689 0.2689 0.0000
I 0.7311 0.7311 0.0000
Cl 0.2146 0.2146 0.4292
Cl 0.2146 0.7854 0.0000
Cl 0.7854 0.2146 0.0000
Cl 0.7854 0.7854 0.5708

---

Ρ for every record listed, in sequence, given in Mg/m³: 10.39; 8.06; 4.18.